# PBE Tb3YTm7, optimized geometry
data_Tb3YTm7
_cell_length_a 6.896
_cell_length_b 5.451
_cell_length_c 9.847
_cell_angle_alpha 90.00
_cell_angle_beta 110.05
_cell_angle_gamma 90.00
_symmetry_space_group_name_H-M 'P 1 2/m 1'
_symmetry_Int_Tables_number 10
_symmetry_space_group_name_Hall '-P 2y'
loop_
_atom_site_label
_atom_site_fract_x
_atom_site_fract_y
_atom_site_fract_z
Tb1 0.000 0.000 0.000
Tb2 0.220 0.500 0.501
Y1 0.500 0.000 0.000
Tm1 0.081 0.000 0.669
Tm2 0.180 0.500 0.859
Tm3 0.353 0.500 0.210
Tm4 0.500 0.000 0.500
# - total energy (eV per atom) = -4.535
# - energy relative to the lowest polymorph listed for this composition (eV/f.u.) = 0.00